1.
A plane-wave DFT calculation with PBE-GGA was carried out for a relaxed Sc2CdAu crystal.

The calculation puts the electronic total energy at -0.332 Ry/atom.

a = 4.8125 Å, b = 3.4533 Å, c = 5.8379 Å
α = 90.00°, β = 113.16°, γ = 90.00°
Closest atoms and distances in Å follow each position.
Fractional positions:
Sc  0.0000  0.0000  0.0000  4 Au 2.96, 2 Cd 2.96
Sc  0.0000  0.5000  0.5000  4 Cd 2.96, 2 Au 2.96
Cd  0.5000  0.0000  0.5000  6 Sc 2.96
Au  0.5000  0.5000  0.0000  6 Sc 2.96

=====

2.
A plane-wave DFT calculation with PBE-GGA was carried out for a relaxed Sc2CdAu crystal.

The calculation puts the electronic total energy at -0.334 Ry/atom.

a = 4.8622 Å, b = 4.8622 Å, c = 5.8723 Å
α = 102.74°, β = 102.74°, γ = 41.62°
Closest atoms and distances in Å follow each position.
Fractional positions:
Sc  0.2406  0.2406  0.2347  3 Au 2.87-3.00, 3 Cd 2.97-3.04
Sc  0.7594  0.7594  0.7653  3 Au 2.87-3.00, 3 Cd 2.97-3.04
Cd  0.0000  0.0000  0.5000  6 Sc 2.97-3.04
Au  0.5000  0.5000  0.0000  6 Sc 2.87-3.00

=====

3.
A plane-wave DFT calculation with PBE-GGA was carried out for a relaxed ScCd2Au crystal.

The calculation puts the electronic total energy at -0.232 Ry/atom.

a = 5.6700 Å, b = 5.6700 Å, c = 4.8572 Å
α = 114.72°, β = 114.72°, γ = 36.56°
Closest atoms and distances in Å follow each position.
Fractional positions:
Sc  0.0000  0.0000  0.0000  4 Au 3.01, 8 Cd 3.11-3.35
Cd  0.2358  0.2358  0.7360  2 Au 2.89, 4 Cd 3.02, 2 Sc 3.11
Cd  0.7642  0.7642  0.2640  2 Au 2.89, 4 Cd 3.02, 2 Sc 3.11
Au  0.5000  0.5000  0.5000  4 Cd 2.89, 4 Sc 3.01

=====

4.
A plane-wave DFT calculation with PBE-GGA was carried out for a relaxed Sc4CdAu2 crystal.

The calculation puts the relative energy among the computed polymorphs at 0.000 kcal/mol of atoms. The calculation puts the electronic total energy at -0.380 Ry/atom.

a = 8.1829 Å, b = 8.1829 Å, c = 8.1829 Å
α = 34.10°, β = 34.10°, γ = 34.10°
Closest atoms and distances in Å follow each position.
Fractional positions:
Sc  0.1150  0.1150  0.1150  4 Au 2.85-3.05, 3 Cd 3.02
Sc  0.3690  0.3690  0.3690  4 Au 2.82-3.01, 1 Cd 3.03
Sc  0.6310  0.6310  0.6310  4 Au 2.82-3.01, 1 Cd 3.03
Sc  0.8850  0.8850  0.8850  4 Au 2.85-3.05, 3 Cd 3.02
Cd  0.5000  0.5000  0.5000  8 Sc 3.02-3.03, 6 Au 3.34
Au  0.2471  0.2471  0.2471  8 Sc 2.82-3.05
Au  0.7529  0.7529  0.7529  8 Sc 2.82-3.05

=====

5.
A plane-wave DFT calculation with PBE-GGA was carried out for a relaxed ScCd3Au2 crystal.

The calculation puts the electronic total energy at -0.216 Ry/atom.

a = 4.3284 Å, b = 8.6927 Å, c = 6.7450 Å
α = 90.00°, β = 90.00°, γ = 90.00°
Closest atoms and distances in Å follow each position.
Fractional positions:
Sc  0.0000  0.0719  0.0000  5 Au 2.87-3.07
Sc  0.0000  0.9281  0.5000  5 Au 2.87-3.07
Cd  0.0000  0.2984  0.6073  4 Au 2.83-2.94, 4 Cd 3.06-3.14
Cd  0.0000  0.7016  0.1073  4 Au 2.83-2.94, 4 Cd 3.06-3.14
Cd  0.5000  0.2028  0.3104  4 Au 2.75-2.92, 2 Cd 3.06
Cd  0.5000  0.4228  0.9031  5 Au 2.90-3.12, 2 Cd 3.14
Cd  0.5000  0.5772  0.4031  5 Au 2.90-3.12, 2 Cd 3.14
Cd  0.5000  0.7972  0.8104  4 Au 2.75-2.92, 2 Cd 3.06
Au  0.0000  0.3821  0.1852  8 Cd 2.80-3.12, 1 Sc 2.97
Au  0.0000  0.6179  0.6852  8 Cd 2.80-3.12, 1 Sc 2.97
Au  0.5000  0.1068  0.7250  5 Cd 2.75-3.00, 4 Sc 2.87-3.07
Au  0.5000  0.8932  0.2250  5 Cd 2.75-3.00, 4 Sc 2.87-3.07

=====

6.
A plane-wave DFT calculation with PBE-GGA was carried out for a relaxed ScCdAu6 crystal.

The calculation puts the electronic total energy at -0.275 Ry/atom.

a = 5.1289 Å, b = 5.1289 Å, c = 8.5590 Å
α = 114.88°, β = 114.88°, γ = 47.85°
Closest atoms and distances in Å follow each position.
Fractional positions:
Sc  0.0000  0.0000  0.0000  12 Au 2.93-2.99
Cd  0.0000  0.0000  0.5000  12 Au 2.95-3.02
Au  0.2493  0.2493  0.3706  8 Au 2.92-3.03, 3 Cd 2.95-3.01, 1 Sc 2.95
Au  0.2528  0.2528  0.8799  3 Sc 2.93-2.99, 8 Au 2.93-2.98, 1 Cd 3.02
Au  0.4970  0.4970  0.7532  8 Au 2.92-3.02, 2 Sc 2.96, 2 Cd 3.01
Au  0.5030  0.5030  0.2468  8 Au 2.92-3.02, 2 Sc 2.96, 2 Cd 3.01
Au  0.7472  0.7472  0.1201  3 Sc 2.93-2.99, 8 Au 2.93-2.98, 1 Cd 3.02
Au  0.7507  0.7507  0.6294  8 Au 2.92-3.03, 3 Cd 2.95-3.01, 1 Sc 2.95

=====

These records have calculated volume values of 22.30, 22.40, 20.88, 21.94, 21.15, 18.53 Å³/atom, in the order they appear.
These records have ΔE_f values of -307, -326, -301, -488, -334, -375 meV per atom, in the order they appear.
These records have Fermi-level density of states values of 3.64, 3.45, 1.72, 6.51, 6.29, 3.23 states/eV/cell, in the order they appear.